# 1
Here is a geometry-optimized Rb5In2F12 structure from Alexandria. Energies are from PBE.

Lattice parameters (Å, degrees): 7.281 8.173 8.064 79.06 87.17 61.61
Each line ends with the local moment (μB).
Element x y z (fractional)
Rb 0.942 0.321 0.179  0.00
Rb 0.507 0.248 0.450  0.00
Rb 0.500 0.000 0.000  0.00
Rb 0.493 0.752 0.550  0.00
Rb 0.058 0.679 0.821  0.00
In 0.029 0.783 0.289  -0.01
In 0.971 0.217 0.711  -0.01
F 0.789 0.061 0.185  0.09
F 0.186 0.159 0.514  0.11
F 0.245 0.560 0.165  0.14
F 0.777 0.089 0.757  0.06
F 0.847 0.698 0.163  0.09
F 0.775 0.390 0.495  0.06
F 0.225 0.610 0.505  0.06
F 0.223 0.911 0.243  0.06
F 0.153 0.302 0.837  0.09
F 0.814 0.841 0.486  0.11
F 0.755 0.440 0.835  0.14
F 0.211 0.939 0.815  0.09

Output
**Formation energy without anion corrections**: -2.515 eV/atom

---

# 2
Here is a geometry-optimized YV3Os structure from Alexandria. Energies are from PBE.

Lattice parameters (Å, degrees): 4.453 4.453 4.453 90.00 90.00 90.00
Each line ends with the local moment (μB).
Element x y z (fractional)
Y 0.000 0.000 0.000  0.01
Os 0.500 0.500 0.500  -0.18
V 0.000 0.500 0.000  0.25
V 0.000 0.000 0.500  0.25
V 0.500 0.000 0.000  0.25

Output
**Energy relative to the elements**: 2.32 eV per atom

---

# 3
Here is a geometry-optimized In5Bi3S12 structure from Alexandria. Energies are from PBE.

Lattice parameters (Å, degrees): 3.923 14.503 16.990 90.11 96.63 90.00
Element x y z (fractional)
In 0.000 0.000 0.000
In 0.000 0.500 0.000
In 0.782 0.584 0.564
In 0.218 0.416 0.436
In 0.598 0.494 0.195
In 0.402 0.506 0.805
In 0.326 0.781 0.652
In 0.674 0.219 0.348
In 0.070 0.721 0.139
In 0.930 0.279 0.861
Bi 0.867 0.015 0.734
Bi 0.133 0.985 0.266
Bi 0.676 0.729 0.352
Bi 0.324 0.271 0.648
Bi 0.446 0.790 0.893
Bi 0.554 0.210 0.107
S 0.005 0.818 0.010
S 0.995 0.182 0.990
S 0.938 0.600 0.876
S 0.062 0.400 0.124
S 0.886 0.819 0.772
S 0.114 0.181 0.228
S 0.778 0.764 0.556
S 0.222 0.236 0.444
S 0.603 0.812 0.205
S 0.397 0.188 0.795
S 0.534 0.605 0.068
S 0.466 0.395 0.932
S 0.447 0.974 0.894
S 0.553 0.026 0.106
S 0.337 0.602 0.675
S 0.663 0.398 0.325
S 0.192 0.848 0.384
S 0.808 0.152 0.616
S 0.125 0.603 0.250
S 0.875 0.397 0.750
S 0.227 0.591 0.455
S 0.773 0.409 0.545
S 0.320 0.961 0.639
S 0.680 0.039 0.361

Output
**Formation energy without anion corrections**: -0.464 eV/atom

---

# 4
Here is a geometry-optimized HgSb2Pb2 structure from Alexandria. Energies are from PBE.

Lattice parameters (Å, degrees): 5.619 5.619 6.994 66.31 66.31 90.00
Element x y z (fractional)
Pb 0.750 0.250 0.500
Pb 0.250 0.750 0.500
Sb 0.376 0.376 0.249
Sb 0.624 0.624 0.751
Hg 0.000 0.000 0.000

Output
**Formation energy without anion corrections**: 0.064 eV/atom

---

# 5
Here is a geometry-optimized MgAgSN2 structure from Alexandria. Energies are from PBE.

Lattice parameters (Å, degrees): 4.014 4.014 5.380 90.00 90.00 90.00
Each line ends with the local moment (μB).
Element x y z (fractional)
S 0.000 0.000 0.500  0.14
Mg 0.500 0.500 0.500  -0.02
Ag 0.000 0.000 0.000  0.16
N 0.000 0.500 0.000  0.93
N 0.500 0.000 0.000  0.93

Output
**Formation energy without anion corrections**: 1.335 eV/atom

---

# 6
Here is a geometry-optimized BaCaMg3 structure from Alexandria. Energies are from PBE.

Lattice parameters (Å, degrees): 5.965 5.965 5.965 90.00 90.00 90.00
Element x y z (fractional)
Mg 0.000 0.500 0.000
Mg 0.000 0.000 0.500
Mg 0.500 0.000 0.000
Ca 0.000 0.000 0.000
Ba 0.500 0.500 0.500

Output
**Energy relative to the elements**: 0.43 eV per atom

---

# 7
Here is a geometry-optimized ZnAuSe structure from Alexandria. Energies are from PBE.

Lattice parameters (Å, degrees): 6.767 6.767 11.899 30.53 30.53 31.52
Element x y z (fractional)
Au 0.698 0.698 0.897
Au 0.055 0.055 0.410
Zn 0.553 0.553 0.594
Zn 0.201 0.201 0.713
Se 0.337 0.337 0.368
Se 0.416 0.416 0.939

Output
**Formation energy without anion corrections**: -0.191 eV/atom

---

# 8
Here is a geometry-optimized VAsRhSe2 structure from Alexandria. Energies are from PBE.

Lattice parameters (Å, degrees): 5.012 5.012 4.518 90.00 90.00 90.00
Element x y z (fractional)
As 0.000 0.000 0.500
Rh 0.000 0.000 0.000
Se 0.000 0.500 0.000
Se 0.500 0.000 0.000
V 0.500 0.500 0.500

Output
**Formation energy without anion corrections**: 0.752 eV/atom

---

no.,DFT total energy (eV per atom)
1,-4.2402
2,-6.6935
3,-4.2068
4,-3.1286
5,-3.7098
6,-1.3136
7,-2.8698
8,-4.8662